Computed, not measured: crystalline Np6PaSb10 at its relaxed geometry at the PBE-GGA level of DFT.

Properties
E_form (uncorrected) ... -0.282 eV per atom
DFT total energy ... -7.83 eV/atom

Unit cell a=9.312 b=9.312 c=6.105 alpha=90.00 beta=90.00 gamma=120.00
Fractional coordinates of all 17 atoms:
Np  0.000  0.388  0.254
Np  0.000  0.612  0.746
Np  0.388  0.000  0.254
Np  0.388  0.388  0.746
Np  0.612  0.000  0.746
Np  0.612  0.612  0.254
Pa  0.000  0.000  0.500
Sb  0.000  0.270  0.766
Sb  0.000  0.730  0.234
Sb  0.270  0.000  0.766
Sb  0.270  0.270  0.234
Sb  0.333  0.667  0.000
Sb  0.333  0.667  0.500
Sb  0.667  0.333  0.000
Sb  0.667  0.333  0.500
Sb  0.730  0.000  0.234
Sb  0.730  0.730  0.766